1.
MgBePd2: relaxed, GGA-PBE.

symmetry	Fm-3m, No. 225
energy relative to the lowest polymorph listed for this composition	87	meV/atom

Cell: 4.2576 4.2576 4.2576 Å, 60.00 60.00 60.00°
Element x y z (fractional)
Mg 0.0000 0.0000 0.0000
Be 0.5000 0.5000 0.5000
Pd 0.2500 0.2500 0.2500
Pd 0.7500 0.7500 0.7500



2.
Sr2InMo: relaxed, GGA-PBE.

symmetry	R-3m, No. 166
total DFT energy (no corrections)	-3.509	eV/atom

Cell: 10.8737 10.8737 10.8737 Å, 19.15 19.15 19.15°
Element x y z (fractional)
Sr 0.2429 0.2429 0.2429
Sr 0.7571 0.7571 0.7571
In 0.0000 0.0000 0.0000
Mo 0.5000 0.5000 0.5000



3.
SrMgP2S8: relaxed, GGA-PBE.

symmetry	P-3, No. 147
total DFT energy (no corrections)	-4.491	eV/atom

Cell: 5.8163 5.8163 9.1966 Å, 90.00 90.00 120.00°
Element x y z (fractional)
Sr 0.0000 0.0000 0.0000
Mg 0.0000 0.0000 0.5000
P 0.3333 0.6667 0.7558
P 0.6667 0.3333 0.2442
S 0.0050 0.6733 0.3083
S 0.3267 0.3317 0.3083
S 0.3317 0.0050 0.6917
S 0.3333 0.6667 0.9775
S 0.6667 0.3333 0.0225
S 0.6683 0.9950 0.3083
S 0.6733 0.6683 0.6917
S 0.9950 0.3267 0.6917



4.
Al2PtBr: relaxed, GGA-PBE.

symmetry	Cm, No. 8
energy relative to the lowest polymorph listed for this composition	60	meV/atom

Cell: 7.5756 7.5756 3.2517 Å, 90.02 90.02 24.69°
Element x y z (fractional)
Al 0.0000 0.0000 0.0000
Al 0.1829 0.1829 0.0006
Pt 0.5888 0.5888 0.5006
Br 0.8327 0.8327 0.0021



5.
Cs6KCl: relaxed, GGA-PBE.

symmetry	C2/c, No. 15
total DFT energy (no corrections)	-1.470	eV/atom

Cell: 10.0613 10.0613 18.2040 Å, 101.27 101.27 54.63°
Element x y z (fractional)
Cs 0.0161 0.8318 0.6075
Cs 0.1271 0.3118 0.6689
Cs 0.1682 0.9839 0.8925
Cs 0.2934 0.4175 0.9657
Cs 0.3118 0.1271 0.1689
Cs 0.4175 0.2934 0.4657
Cs 0.5825 0.7066 0.5343
Cs 0.6882 0.8729 0.8311
Cs 0.7066 0.5825 0.0343
Cs 0.8318 0.0161 0.1075
Cs 0.8729 0.6882 0.3311
Cs 0.9839 0.1682 0.3925
K 0.3992 0.6008 0.2500
K 0.6008 0.3992 0.7500
Cl 0.0000 0.5000 0.5000
Cl 0.5000 0.0000 0.0000



6.
Tb4Y5: relaxed, GGA-PBE.

symmetry	I4/mmm, No. 139
total DFT energy (no corrections)	-5.628	eV/atom

Cell: 7.9785 7.9785 7.9785 Å, 95.72 95.72 143.21°
Element x y z (fractional)
Tb 0.0000 0.3346 0.3346
Tb 0.0000 0.6654 0.6654
Tb 0.3346 0.0000 0.3346
Tb 0.6654 0.0000 0.6654
Y 0.0000 0.0000 0.0000
Y 0.3331 0.3331 0.6662
Y 0.3331 0.6669 0.0000
Y 0.6669 0.3331 0.0000
Y 0.6669 0.6669 0.3338



Number 1: volume 54.57 Å³ per cell. Number 2: volume 120.91 Å³ per cell. Number 3: volume 269.44 Å³ per cell. Number 4: volume 77.95 Å³ per cell. Number 5: volume 1465.81 Å³ per cell. Number 6: volume 288.63 Å³ per cell.